Record 1
A PBEsol-optimized structure of CaTl2Cr, computed with meta-GGA SCAN.

Lattice parameters (Å, degrees): 4.101 4.776 5.877 114.13 110.42 90.00
Site moments in Bohr magnetons follow the coordinates.
Sites, in units of the cell vectors:
Ca 0.507 0.507 0.013  0.02
Tl 0.986 0.986 0.972  -0.02
Tl 0.743 0.242 0.485  -0.03
Cr 0.265 0.764 0.530  4.09

Summary:
The calculation puts the formation energy at -0.030 eV/atom.

=====

Record 2
A PBEsol-optimized structure of CaTl2Cr, computed with meta-GGA SCAN.

Lattice parameters (Å, degrees): 3.514 3.514 9.376 79.20 79.20 60.00
Site moments in Bohr magnetons follow the coordinates.
Sites, in units of the cell vectors:
Cr 0.000 0.000 0.000  3.83
Tl 0.259 0.259 0.223  -0.02
Tl 0.741 0.741 0.777  -0.02
Ca 0.500 0.500 0.500  -0.05

Summary:
The calculation puts the formation energy at 0.052 eV/atom.

=====

Record 3
A PBEsol-optimized structure of CaTl2Cr, computed with meta-GGA SCAN.

Lattice parameters (Å, degrees): 4.294 4.679 4.679 90.00 90.00 90.00
Site moments in Bohr magnetons follow the coordinates.
Sites, in units of the cell vectors:
Tl 0.000 0.000 0.500  -0.04
Tl 0.000 0.500 0.000  -0.04
Ca 0.500 0.500 0.500  -0.02
Cr 0.500 0.000 0.000  4.03

Summary:
The calculation puts the formation energy at -0.081 eV/atom.

=====

Record 4
A PBEsol-optimized structure of CaTl2Cr, computed with meta-GGA SCAN.

Lattice parameters (Å, degrees): 3.839 3.839 6.798 90.00 90.00 90.00
Site moments in Bohr magnetons follow the coordinates.
Sites, in units of the cell vectors:
Cr 0.500 0.500 0.790  4.08
Tl 0.000 0.000 0.972  0.01
Tl 0.500 0.500 0.237  -0.01
Ca 0.000 0.000 0.502  0.04

Summary:
The calculation puts the formation energy at 0.030 eV/atom.

=====

Record 5
A PBEsol-optimized structure of CaCr3W, computed with meta-GGA SCAN.

Lattice parameters (Å, degrees): 4.696 4.696 4.696 90.00 90.00 90.00
Site moments in Bohr magnetons follow the coordinates.
Sites, in units of the cell vectors:
Cr 0.000 0.000 0.500  3.00
Cr 0.000 0.500 0.000  3.00
Cr 0.500 0.000 0.000  3.00
W 0.000 0.000 0.000  -1.13
Ca 0.500 0.500 0.500  0.00

Summary:
The calculation puts the formation energy at 0.934 eV/atom.

=====

Record 6
A PBEsol-optimized structure of CaY2Cr, computed with meta-GGA SCAN.

Lattice parameters (Å, degrees): 3.519 3.519 10.769 80.60 80.60 60.00
Site moments in Bohr magnetons follow the coordinates.
Sites, in units of the cell vectors:
Y 0.267 0.267 0.199  -0.17
Y 0.733 0.733 0.801  -0.17
Ca 0.500 0.500 0.500  -0.02
Cr 0.000 0.000 0.000  3.48

Summary:
The calculation puts the formation energy at 0.293 eV/atom.

=====

Record 7
A PBEsol-optimized structure of CaY2Cr, computed with meta-GGA SCAN.

Lattice parameters (Å, degrees): 3.966 5.235 5.235 90.00 90.00 90.00
Site moments in Bohr magnetons follow the coordinates.
Sites, in units of the cell vectors:
Cr 0.500 0.000 0.000  3.88
Ca 0.500 0.500 0.500  -0.01
Y 0.000 0.500 0.000  -0.04
Y 0.000 0.000 0.500  -0.04

Summary:
The calculation puts the formation energy at 0.250 eV/atom.

=====

Record 8
A PBEsol-optimized structure of CaYCr3, computed with meta-GGA SCAN.

Lattice parameters (Å, degrees): 4.991 4.991 4.991 90.00 90.00 90.00
Site moments in Bohr magnetons follow the coordinates.
Sites, in units of the cell vectors:
Ca 0.500 0.500 0.500  -0.03
Y 0.000 0.000 0.000  0.12
Cr 0.000 0.500 0.000  3.61
Cr 0.000 0.000 0.500  3.61
Cr 0.500 0.000 0.000  3.61

Summary:
The calculation puts the formation energy at 1.245 eV/atom.

=====

Record 9
A PBEsol-optimized structure of CaY2Cr, computed with meta-GGA SCAN.

Lattice parameters (Å, degrees): 5.352 5.352 5.352 60.00 60.00 60.00
Site moments in Bohr magnetons follow the coordinates.
Sites, in units of the cell vectors:
Ca 0.500 0.500 0.500  -0.01
Y 0.000 0.000 0.000  -0.11
Y 0.750 0.750 0.750  -0.40
Cr 0.250 0.250 0.250  3.89

Summary:
The calculation puts the formation energy at 0.282 eV/atom.

=====

Record 10
A PBEsol-optimized structure of CaYCr, computed with meta-GGA SCAN.

Lattice parameters (Å, degrees): 5.036 5.036 5.036 60.00 60.00 60.00
Site moments in Bohr magnetons follow the coordinates.
Sites, in units of the cell vectors:
Y 0.000 0.000 0.000  0.12
Cr 0.750 0.750 0.750  3.95
Ca 0.500 0.500 0.500  0.03

Summary:
The calculation puts the formation energy at 0.556 eV/atom.

=====

Record 11
A PBEsol-optimized structure of CaY2Cr, computed with meta-GGA SCAN.

Lattice parameters (Å, degrees): 3.336 6.392 6.392 118.55 101.03 101.03
Site moments in Bohr magnetons follow the coordinates.
Sites, in units of the cell vectors:
Y 0.000 0.500 0.000  0.03
Y 0.000 0.000 0.500  0.03
Cr 0.500 0.500 0.500  3.97
Ca 0.500 0.000 0.000  0.00

Summary:
The calculation puts the formation energy at 0.353 eV/atom.

=====

Record 12
A PBEsol-optimized structure of Ca3YCr, computed with meta-GGA SCAN.

Lattice parameters (Å, degrees): 6.010 6.010 6.010 90.00 90.00 90.00
Site moments in Bohr magnetons follow the coordinates.
Sites, in units of the cell vectors:
Y 0.000 0.000 0.000  -1.48
Ca 0.000 0.500 0.000  -0.20
Ca 0.000 0.000 0.500  -0.20
Ca 0.500 0.000 0.000  -0.20
Cr 0.500 0.500 0.500  4.37

Summary:
The calculation puts the formation energy at 1.151 eV/atom.

=====

Please write out number 1 again, unchanged.
A PBEsol-optimized structure of CaTl2Cr, computed with meta-GGA SCAN.

Lattice parameters (Å, degrees): 4.101 4.776 5.877 114.13 110.42 90.00
Site moments in Bohr magnetons follow the coordinates.
Sites, in units of the cell vectors:
Ca 0.507 0.507 0.013  0.02
Tl 0.986 0.986 0.972  -0.02
Tl 0.743 0.242 0.485  -0.03
Cr 0.265 0.764 0.530  4.09

Summary:
The calculation puts the formation energy at -0.030 eV/atom.